(1)
A plane-wave DFT calculation with PBE was carried out for a relaxed MnIn2GeSe6 crystal.

Lattice parameters (Å, degrees): 8.794 8.794 6.843 96.85 96.85 84.22
Atoms (fractional coordinates):
Mn1 0.091 0.909 0.750
Mn2 0.909 0.091 0.250
In1 0.218 0.410 0.714
In2 0.410 0.218 0.214
In3 0.590 0.782 0.786
In4 0.782 0.590 0.286
Ge1 0.243 0.757 0.250
Ge2 0.757 0.243 0.750
Se1 0.028 0.175 0.605
Se2 0.092 0.662 0.897
Se3 0.175 0.028 0.105
Se4 0.255 0.466 0.359
Se5 0.338 0.908 0.603
Se6 0.466 0.255 0.859
Se7 0.534 0.745 0.141
Se8 0.662 0.092 0.397
Se9 0.745 0.534 0.641
Se10 0.825 0.972 0.895
Se11 0.908 0.338 0.103
Se12 0.972 0.825 0.395

The crystal system is monoclinic. For the total energy, the calculation gives -43.59 eV/f.u. The calculation puts the total magnetization at 0.2970 μB per atom. For the uncorrected formation energy, the calculation gives -0.34 eV per atom.

---

(2)
A plane-wave DFT calculation with PBE was carried out for a relaxed MnInSi2Ge crystal.

Lattice parameters (Å, degrees): 4.522 4.522 4.687 90.00 90.00 90.00
Atoms (fractional coordinates):
Mn1 0.000 0.000 0.000
In1 0.500 0.500 0.500
Si1 0.000 0.500 0.000
Si2 0.500 0.000 0.000
Ge1 0.000 0.000 0.500

The crystal system is tetragonal. For the total energy, the calculation gives -25.99 eV/f.u. The calculation puts the total magnetization at 0.2779 μB per atom. For the uncorrected formation energy, the calculation gives 0.28 eV per atom.

---

(3)
A plane-wave DFT calculation with PBE was carried out for a relaxed InGeMo3 crystal.

Lattice parameters (Å, degrees): 4.889 4.889 4.889 90.00 90.00 90.00
Atoms (fractional coordinates):
In1 0.000 0.000 0.000
Ge1 0.500 0.500 0.500
Mo1 0.000 0.000 0.500
Mo2 0.000 0.500 0.000
Mo3 0.500 0.000 0.000

The offset from the most stable computed form is 1281 meV/atom. The crystal system is cubic. For the total energy, the calculation gives -27.75 eV/f.u. The calculation puts the total magnetization at 0.0000 μB per atom. The formation energy is 2.4199 eV per atom.